Here is a relaxed structure of Rb2NdV2O6 from the Alexandria database. Energies are from PBE with a Hubbard U.

```
data_Rb2NdV2O6
_chemical_formula_sum 'Rb6 Nd3 V6 O18'
_cell_length_a 6.2623
_cell_length_b 6.2623
_cell_length_c 18.8273
_cell_angle_alpha 90.00
_cell_angle_beta 90.00
_cell_angle_gamma 120.00
_space_group_name_H-M_alt 'R -3 m'
_space_group_IT_number 166
_space_group_name_Hall '-R 3 2"'
loop_
_atom_site_label
_atom_site_fract_x
_atom_site_fract_y
_atom_site_fract_z
_atom_site_occupancy
Rb1 0.0000 0.0000 0.2111 1
Nd1 0.0000 0.0000 0.0000 1
V1 0.0000 0.0000 0.4204 1
O1 0.0104 0.5052 0.2548 1
```

Calculated values
- Raw total energy: -6.79 eV per atom
- Density: 3.997 Mg/m³